The following is a PBE-GGA calculation of a relaxed HoTm14Zr crystal, from the Alexandria database.

## Properties
Symmetry: P4/mmm
Electronic total energy (eV/atom): -4.697

a b c (Å): 6.9413 6.9413 9.7727
angles (deg): 90.00 90.00 90.00
With the nearest neighbours (Å) after each atom.
Atoms (fractional coordinates):
Ho: 0.0000 0.0000 0.0000  12 Tm 3.46-3.47
Tm: 0.0000 0.0000 0.5000  12 Tm 3.47-3.53
Tm: 0.0000 0.5000 0.0000  8 Tm 3.43, 2 Zr 3.47, 2 Ho 3.47
Tm: 0.0000 0.5000 0.5000  12 Tm 3.47-3.50
Tm: 0.2545 0.2545 0.2452  1 Zr 3.40, 10 Tm 3.41-3.53, 1 Ho 3.46
Tm: 0.2545 0.2545 0.7548  1 Zr 3.40, 10 Tm 3.41-3.53, 1 Ho 3.46
Tm: 0.2545 0.7455 0.2452  1 Zr 3.40, 10 Tm 3.41-3.53, 1 Ho 3.46
Tm: 0.2545 0.7455 0.7548  1 Zr 3.40, 10 Tm 3.41-3.53, 1 Ho 3.46
Tm: 0.5000 0.0000 0.0000  8 Tm 3.43, 2 Zr 3.47, 2 Ho 3.47
Tm: 0.5000 0.0000 0.5000  12 Tm 3.47-3.50
Tm: 0.5000 0.5000 0.5000  12 Tm 3.47
Tm: 0.7455 0.2545 0.2452  1 Zr 3.40, 10 Tm 3.41-3.53, 1 Ho 3.46
Tm: 0.7455 0.2545 0.7548  1 Zr 3.40, 10 Tm 3.41-3.53, 1 Ho 3.46
Tm: 0.7455 0.7455 0.2452  1 Zr 3.40, 10 Tm 3.41-3.53, 1 Ho 3.46
Tm: 0.7455 0.7455 0.7548  1 Zr 3.40, 10 Tm 3.41-3.53, 1 Ho 3.46
Zr: 0.5000 0.5000 0.0000  12 Tm 3.40-3.47